1.
This record from the Alexandria database describes a relaxed structure of SmZn4Pd. The functional is PBE.

Calculated values
As for the polymorph energy (0 for the lowest one): 0.0 kJ/mol of formula units. As for the formation energy from the elements: -393 meV/atom. Its space-group type is Pmma.

Unit cell a=4.001 b=6.999 c=7.883 alpha=90.00 beta=90.00 gamma=90.00
Sites, in units of the cell vectors:
Sm 0.000 0.619 0.750
Sm 0.000 0.381 0.250
Zn 0.000 0.000 0.500
Zn 0.000 0.000 0.000
Zn 0.500 0.951 0.750
Zn 0.500 0.049 0.250
Zn 0.500 0.695 0.047
Zn 0.500 0.305 0.953
Zn 0.500 0.695 0.453
Zn 0.500 0.305 0.547
Pd 0.000 0.213 0.750
Pd 0.000 0.787 0.250

---

2.
This record from the Alexandria database describes a relaxed structure of TaCrAs2. The functional is PBE.

Calculated values
As for the polymorph energy (0 for the lowest one): 80.1 kJ/mol of formula units. As for the formation energy from the elements: 78 meV/atom. Its space-group type is R3m.

Unit cell a=8.114 b=8.114 c=8.114 alpha=22.35 beta=22.35 gamma=22.35
Sites, in units of the cell vectors:
As 0.005 0.005 0.005
As 0.238 0.238 0.238
Cr 0.502 0.502 0.502
Ta 0.755 0.755 0.755

---

3.
This record from the Alexandria database describes a relaxed structure of Zr2SnSe. The functional is PBE.

Calculated values
As for the polymorph energy (0 for the lowest one): 251.9 kJ/mol of formula units. The uncorrected formation energy comes out at -0.063 eV per atom. Its space-group type is I-42d.

Unit cell a=6.236 b=6.236 c=7.784 alpha=66.39 beta=66.39 gamma=90.00
Sites, in units of the cell vectors:
Se 0.500 0.500 0.000
Se 0.250 0.750 0.500
Sn 0.000 0.000 0.000
Sn 0.750 0.250 0.500
Zr 0.600 0.125 0.250
Zr 0.150 0.625 0.250
Zr 0.375 0.400 0.750
Zr 0.875 0.850 0.750

---

4.
This record from the Alexandria database describes a relaxed structure of Pr2SmAl4Pt3. The functional is PBE.

Calculated values
As for the formation energy from the elements: -879 meV/atom. Its space-group type is P-4m2.

Unit cell a=4.325 b=4.325 c=11.533 alpha=90.00 beta=90.00 gamma=90.00
Sites, in units of the cell vectors:
Pr 0.500 0.000 0.227
Pr 0.000 0.500 0.773
Sm 0.500 0.500 0.500
Al 0.500 0.500 0.000
Al 0.000 0.000 0.000
Al 0.500 0.000 0.672
Al 0.000 0.500 0.328
Pt 0.000 0.000 0.500
Pt 0.500 0.000 0.883
Pt 0.000 0.500 0.117

---

5.
This record from the Alexandria database describes a relaxed structure of NaAcSnI6. The functional is PBE.

Calculated values
The uncorrected formation energy comes out at -1.106 eV per atom. Its space-group type is P4_2nm.

Unit cell a=7.665 b=7.665 c=14.525 alpha=90.00 beta=90.00 gamma=90.00
Sites, in units of the cell vectors:
Na 0.500 0.500 0.167
Na 0.000 0.000 0.667
Ac 0.500 0.500 0.834
Ac 0.000 0.000 0.334
Sn 0.500 0.500 0.501
Sn 0.000 0.000 0.001
I 0.202 0.798 0.502
I 0.798 0.202 0.502
I 0.298 0.298 0.002
I 0.702 0.702 0.002
I 0.197 0.803 0.163
I 0.803 0.197 0.163
I 0.303 0.303 0.663
I 0.697 0.697 0.663
I 0.803 0.197 0.834
I 0.197 0.803 0.834
I 0.697 0.697 0.334
I 0.303 0.303 0.334

---

6.
This record from the Alexandria database describes a relaxed structure of LaZrCrW2. The functional is PBE.

Calculated values
As for the formation energy from the elements: 1606 meV/atom. Its space-group type is P4/mmm.

Unit cell a=4.950 b=4.950 c=4.950 alpha=90.00 beta=90.00 gamma=90.00
Site moments in Bohr magnetons follow the coordinates.
Sites, in units of the cell vectors:
Cr 0.000 0.500 0.000  3.13
Zr 0.000 0.000 0.000  -0.10
W 0.000 0.000 0.500  -0.35
W 0.500 0.000 0.000  -0.48
La 0.500 0.500 0.500  -0.02

---

7.
This record from the Alexandria database describes a relaxed structure of ErLuCd2. The functional is PBE.

Calculated values
As for the polymorph energy (0 for the lowest one): 0.0 kJ/mol of formula units. As for the formation energy from the elements: -312 meV/atom. Its space-group type is Fm-3m.

Unit cell a=5.220 b=5.220 c=5.220 alpha=60.00 beta=60.00 gamma=60.00
Sites, in units of the cell vectors:
Cd 0.250 0.250 0.250
Cd 0.750 0.750 0.750
Lu 0.500 0.500 0.500
Er 0.000 0.000 0.000

---

8.
This record from the Alexandria database describes a relaxed structure of CeDyGe. The functional is PBE.

Calculated values
As for the formation energy from the elements: -375 meV/atom. Its space-group type is C2/m.

Unit cell a=4.604 b=4.604 c=8.333 alpha=90.17 beta=90.17 gamma=59.83
Site moments in Bohr magnetons follow the coordinates.
Sites, in units of the cell vectors:
Ce 0.667 0.667 0.082  0.68
Ce 0.333 0.333 0.918  0.68
Dy 0.666 0.666 0.622  0.00
Dy 0.334 0.334 0.378  0.00
Ge 0.000 0.000 0.746  -0.01
Ge 0.000 0.000 0.254  -0.01

---

9.
This record from the Alexandria database describes a relaxed structure of K8AuCl2O. The functional is PBE.

Calculated values
The uncorrected formation energy comes out at -0.900 eV per atom. Its space-group type is P2/m.

Unit cell a=7.415 b=7.414 c=9.216 alpha=90.00 beta=90.00 gamma=87.47
Sites, in units of the cell vectors:
K 0.184 0.813 0.205
K 0.742 0.745 0.000
K 0.816 0.187 0.205
K 0.816 0.187 0.795
K 0.258 0.255 0.000
K 0.184 0.813 0.795
K 0.683 0.694 0.500
K 0.317 0.306 0.500
Au 0.000 0.000 0.500
Cl 0.500 0.500 0.765
Cl 0.500 0.500 0.235
O 0.000 0.000 0.000

---

10.
This record from the Alexandria database describes a relaxed structure of CdCoOs2. The functional is PBE.

Calculated values
As for the formation energy from the elements: 309 meV/atom. Its space-group type is P4mm.

Unit cell a=2.765 b=2.765 c=7.708 alpha=90.00 beta=90.00 gamma=90.00
Site moments in Bohr magnetons follow the coordinates.
Sites, in units of the cell vectors:
Cd 0.000 0.000 0.513  0.00
Co 0.500 0.500 0.774  0.42
Os 0.000 0.000 0.991  0.06
Os 0.500 0.500 0.222  -0.03

---

11.
This record from the Alexandria database describes a relaxed structure of Tb2CeHoN4. The functional is PBE.

Calculated values
The uncorrected formation energy comes out at -1.642 eV per atom. Its space-group type is P2/m.

Unit cell a=3.506 b=6.054 c=6.055 alpha=109.31 beta=90.00 gamma=90.00
Sites, in units of the cell vectors:
Tb 0.500 0.000 0.500
Tb 0.000 0.500 0.500
Ce 0.500 0.500 0.000
Ho 0.000 0.000 0.000
N 0.500 0.250 0.245
N 0.500 0.750 0.755
N 0.000 0.250 0.753
N 0.000 0.750 0.247

---

12.
This record from the Alexandria database describes a relaxed structure of K2InP. The functional is PBE.

Calculated values
As for the polymorph energy (0 for the lowest one): 216.3 kJ/mol of formula units. As for the formation energy from the elements: 292 meV/atom. Its space-group type is I-42d.

Unit cell a=4.830 b=4.830 c=11.854 alpha=78.24 beta=78.24 gamma=90.00
Sites, in units of the cell vectors:
P 0.500 0.500 0.000
P 0.250 0.750 0.500
K 0.597 0.125 0.250
K 0.153 0.625 0.250
K 0.375 0.403 0.750
K 0.875 0.847 0.750
In 0.000 0.000 0.000
In 0.750 0.250 0.500